Material: Rb2Zn2BiAs
Method: DFT, PBE
State: optimized geometry

Lattice parameters (Å, degrees): 4.546 4.546 11.239 90.00 90.00 120.00
Fractional positions:
Rb1 0.667 0.333 0.237
Rb2 0.667 0.333 0.763
Zn1 0.000 0.000 0.500
Zn2 0.333 0.667 0.000
As1 0.000 0.000 0.000
Bi1 0.333 0.667 0.500

Computed properties:
Total energy, eV/atom: -2.52
Symmetry: P-6m2, No. 187